[1]
HgBiSb: relaxed, PBE.

## Properties
Uncorrected formation energy, kJ/mol of formula units: 11
Symmetry: No. 12
Energy above the most stable polymorph in this dataset, meV per atom: 0
Electronic total energy, eV per atom: -2.730
Size of the total moment, μB per formula unit: 0.00

Unit cell a=4.505 b=4.505 c=9.376 alpha=91.27 beta=91.27 gamma=89.91
Positions (direct):
Hg 0.250 0.250 0.013
Hg 0.750 0.750 0.987
Bi 0.259 0.259 0.673
Bi 0.741 0.741 0.327
Sb 0.241 0.241 0.337
Sb 0.759 0.759 0.663

[2]
HgBi2Sb2: relaxed, PBE.

## Properties
Uncorrected formation energy, kJ/mol of formula units: 73
Symmetry: No. 127
Energy above the most stable polymorph in this dataset, meV per atom: 89
Electronic total energy, eV per atom: -3.111
Size of the total moment, μB per formula unit: 0.00

Unit cell a=8.662 b=8.662 c=4.112 alpha=90.00 beta=90.00 gamma=90.00
Positions (direct):
Hg 0.000 0.000 0.000
Hg 0.500 0.500 0.000
Bi 0.148 0.352 0.500
Bi 0.352 0.852 0.500
Bi 0.648 0.148 0.500
Bi 0.852 0.648 0.500
Sb 0.151 0.651 0.000
Sb 0.349 0.151 0.000
Sb 0.651 0.849 0.000
Sb 0.849 0.349 0.000

Q: Among the records above, which one has the highest energy above the most stable polymorph in this dataset?
A: HgBi2Sb2